Entry 1:
Pr7NdSm2: optimized geometry, PBE.

Unit cell a=8.980 b=16.585 c=5.702 alpha=90.00 beta=90.00 gamma=90.00
Space group Cmmm (No. 65)
Symmetry-distinct sites (fractional):
Pr: 0.000 0.000 0.000 [2 per cell]
Pr: 0.000 0.273 0.500 [4 per cell]
Pr: 0.181 0.386 0.000 [8 per cell]
Nd: 0.000 0.500 0.500 [2 per cell]
Sm: 0.000 0.204 0.000 [4 per cell]

Distance to the lowest polymorph of the same formula = 0.000 eV per atom
Formation enthalpy at 0 K = 0.610 eV per atom

---

Entry 2:
MnSi2Pb: optimized geometry, PBE.

Unit cell a=6.749 b=6.749 c=6.749 alpha=90.00 beta=90.00 gamma=90.00
Space group F-43m (No. 216)
Symmetry-distinct sites (fractional):
Mn: 0.000 0.000 0.000 [4 per cell]
Si: 0.000 0.000 0.500 [4 per cell]
Si: 0.250 0.250 0.750 [4 per cell]
Pb: 0.250 0.250 0.250 [4 per cell]

Uncorrected formation energy = 0.7029 eV/atom

---

Entry 3:
MoOsS: optimized geometry, PBE.

Unit cell a=2.945 b=5.751 c=5.516 alpha=90.00 beta=90.00 gamma=90.00
Space group Pmm2 (No. 25)
Symmetry-distinct sites (fractional):
Mo: 0.000 0.242 0.000 [2 per cell]
Os: 0.500 0.000 0.305 [1 per cell]
Os: 0.500 0.500 0.317 [1 per cell]
S: 0.000 0.500 0.646 [1 per cell]
S: 0.500 0.000 0.735 [1 per cell]

Uncorrected formation energy = -0.0921 eV/atom
Distance to the lowest polymorph of the same formula = 0.025 eV per atom

---

Entry 4:
LuHgBi: optimized geometry, PBE.

Unit cell a=4.7040 b=4.7040 c=4.4381 alpha=90.00 beta=90.00 gamma=120.00
Space group P3m1 (No. 156)
Symmetry-distinct sites (fractional):
Lu: 0.0000 0.0000 0.0000 [1 per cell]
Hg: 0.6667 0.3333 0.2668 [1 per cell]
Bi: 0.3333 0.6667 0.6118 [1 per cell]

Distance to the lowest polymorph of the same formula = 0.044 eV per atom
Formation enthalpy at 0 K = -0.328 eV per atom

---

Entry 5:
Tb2GaCu3Ge4: optimized geometry, PBE.

Unit cell a=4.143 b=4.143 c=10.375 alpha=90.00 beta=90.00 gamma=90.00
Space group P-4m2 (No. 115)
Symmetry-distinct sites (fractional):
Tb: 0.000 0.500 0.244 [2 per cell]
Ga: 0.000 0.000 0.500 [1 per cell]
Cu: 0.000 0.500 0.869 [2 per cell]
Cu: 0.500 0.500 0.500 [1 per cell]
Ge: 0.000 0.000 0.000 [1 per cell]
Ge: 0.000 0.500 0.644 [2 per cell]
Ge: 0.500 0.500 0.000 [1 per cell]

Formation enthalpy at 0 K = -0.429 eV per atom

---

Entry 6:
Li4Mg4Tl: optimized geometry, PBE.

Unit cell a=9.195 b=9.195 c=4.429 alpha=90.00 beta=90.00 gamma=90.00
Space group I4/mmm (No. 139)
Symmetry-distinct sites (fractional):
Li: 0.161 0.161 0.000 [8 per cell]
Mg: 0.000 0.328 0.500 [8 per cell]
Tl: 0.000 0.000 0.500 [2 per cell]

Formation enthalpy at 0 K = -0.100 eV per atom

---

Entry 7:
TbNd3Hg6: optimized geometry, PBE.

Unit cell a=9.456 b=5.222 c=11.298 alpha=90.00 beta=106.22 gamma=90.00
Space group P2_1/m (No. 11)
Symmetry-distinct sites (fractional):
Tb: 0.060 0.250 0.393 [2 per cell]
Nd: 0.226 0.250 0.008 [2 per cell]
Nd: 0.353 0.750 0.790 [2 per cell]
Nd: 0.490 0.250 0.614 [2 per cell]
Hg: 0.061 0.750 0.889 [2 per cell]
Hg: 0.141 0.750 0.192 [2 per cell]
Hg: 0.152 0.250 0.687 [2 per cell]
Hg: 0.232 0.750 0.500 [2 per cell]
Hg: 0.336 0.250 0.299 [2 per cell]
Hg: 0.463 0.750 0.086 [2 per cell]

Formation enthalpy at 0 K = -0.433 eV per atom

---

Entry 8:
NpBe2CdO8: optimized geometry, PBE.

Unit cell a=8.350 b=5.457 c=6.863 alpha=90.00 beta=91.80 gamma=90.00
Space group C2/m (No. 12)
Symmetry-distinct sites (fractional):
Np: 0.000 0.000 0.000 [2 per cell]
Be: 0.148 0.500 0.240 [4 per cell]
Cd: 0.000 0.000 0.500 [2 per cell]
O: 0.039 0.256 0.219 [8 per cell]
O: 0.222 0.000 0.939 [4 per cell]
O: 0.241 0.500 0.448 [4 per cell]

Uncorrected formation energy = -1.6510 eV/atom

---

Entry 9:
U3Ge4Pd4: optimized geometry, PBE.

Unit cell a=8.242 b=4.125 c=12.274 alpha=90.00 beta=90.00 gamma=90.00
Space group Amm2 (No. 38)
Symmetry-distinct sites (fractional):
U: 0.000 0.000 0.000 [2 per cell]
U: 0.250 0.000 0.121 [4 per cell]
Ge: 0.000 0.000 0.685 [2 per cell]
Ge: 0.259 0.000 0.447 [4 per cell]
Ge: 0.500 0.000 0.668 [2 per cell]
Pd: 0.000 0.000 0.323 [2 per cell]
Pd: 0.256 0.000 0.815 [4 per cell]
Pd: 0.500 0.000 0.311 [2 per cell]

Formation enthalpy at 0 K = -0.380 eV per atom

---

Entry 10:
ErLuMnBe: optimized geometry, PBE.

Unit cell a=6.802 b=6.802 c=6.802 alpha=90.00 beta=90.00 gamma=90.00
Space group F-43m (No. 216)
Symmetry-distinct sites (fractional):
Er: 0.000 0.000 0.000 [4 per cell]
Lu: 0.000 0.000 0.500 [4 per cell]
Mn: 0.250 0.250 0.250 [4 per cell]
Be: 0.250 0.250 0.750 [4 per cell]

Formation enthalpy at 0 K = 0.158 eV per atom

---

Entry 11:
PmErSN: optimized geometry, PBE.

Unit cell a=3.6534 b=3.6534 c=19.1531 alpha=90.00 beta=90.00 gamma=120.00
Space group R3m (No. 160, hexagonal axes)
Symmetry-distinct sites (fractional):
Pm: 0.0000 0.0000 0.0000 [3 per cell]
Er: 0.0000 0.0000 0.4731 [3 per cell]
S: 0.0000 0.0000 0.2325 [3 per cell]
N: 0.0000 0.0000 0.7434 [3 per cell]

Uncorrected formation energy = -1.8182 eV/atom

---

Entry 12:
Tb2Pr5SmDy: optimized geometry, PBE.

Unit cell a=5.708 b=20.631 c=10.782 alpha=90.00 beta=90.00 gamma=90.00
Space group Cmc2_1 (No. 36)
Symmetry-distinct sites (fractional):
Tb: 0.000 0.112 0.000 [4 per cell]
Tb: 0.000 0.116 0.576 [4 per cell]
Pr: 0.000 0.016 0.281 [4 per cell]
Pr: 0.000 0.280 0.573 [4 per cell]
Pr: 0.000 0.296 0.966 [4 per cell]
Pr: 0.000 0.388 0.286 [4 per cell]
Pr: 0.000 0.481 0.006 [4 per cell]
Sm: 0.000 0.200 0.272 [4 per cell]
Dy: 0.000 0.408 0.723 [4 per cell]

Formation enthalpy at 0 K = 0.139 eV per atom

---

Summary of DOS at the Fermi energy in states/eV/cell
31.3 13.7 3.5 0.5 3.6 3.9 16.5 11.6 28.8 20.7 3.0 56.2
(order as listed above)